Record 1
DFT (PBE-GGA) results for a geometry-optimized SrLi2Hg structure.

## Properties
Calculated formation energy, eV per atom: -0.191
D(E_F), states/eV/cell: 2.71

abc: 5.356 5.356 5.356
angles: 60.00 60.00 60.00
Fractional positions:
Sr  0.750  0.750  0.750
Hg  0.500  0.500  0.500
Li  0.000  0.000  0.000
Li  0.250  0.250  0.250



Record 2
DFT (PBE-GGA) results for a geometry-optimized SbTe2Pb structure.

## Properties
D(E_F), states/eV/cell: 2.89
ΔE_f (raw), eV per atom: 0.027

abc: 6.340 6.340 9.680
angles: 70.88 70.88 90.00
Fractional positions:
Pb  0.000  0.000  0.000
Pb  0.750  0.250  0.500
Sb  0.500  0.500  0.000
Sb  0.250  0.750  0.500
Te  0.600  0.125  0.250
Te  0.150  0.625  0.250
Te  0.375  0.400  0.750
Te  0.875  0.850  0.750



Record 3
DFT (PBE-GGA) results for a geometry-optimized Li8Zn2In structure.

## Properties
Calculated formation energy, eV per atom: -0.158
D(E_F), states/eV/cell: 5.02
Energy relative to the lowest polymorph listed for this composition, meV per atom: 0

abc: 4.578 5.356 7.939
angles: 89.88 106.76 90.00
Fractional positions:
Li  0.593  0.466  0.187
Li  0.312  0.097  0.624
Li  0.134  0.179  0.269
Li  0.053  0.731  0.107
Li  0.866  0.821  0.731
Li  0.688  0.903  0.376
Li  0.407  0.534  0.813
Li  0.947  0.269  0.893
Zn  0.230  0.619  0.461
Zn  0.770  0.381  0.539
In  0.500  0.000  0.000



Record 4
DFT (PBE-GGA) results for a geometry-optimized HgGe2HOs structure.

## Properties
Total energy, eV/atom: -3.933
D(E_F), states/eV/cell: 3.32

abc: 4.420 3.847 4.420
angles: 90.00 90.00 90.00
Fractional positions:
H  0.000  0.000  0.000
Ge  0.000  0.000  0.500
Ge  0.500  0.000  0.000
Os  0.500  0.500  0.500
Hg  0.000  0.500  0.000



Record 5
DFT (PBE-GGA) results for a geometry-optimized Tb2Er2Tm2Th structure.

## Properties
Calculated formation energy, eV per atom: 0.047
D(E_F), states/eV/cell: 10.25

abc: 3.478 11.759 5.523
angles: 103.51 90.00 98.50
Fractional positions:
Tb  0.642  0.284  0.642
Tb  0.358  0.716  0.358
Er  0.571  0.142  0.071
Er  0.429  0.858  0.929
Tm  0.208  0.416  0.207
Tm  0.792  0.584  0.793
Th  0.000  0.000  0.500



Record 6
DFT (PBE-GGA) results for a geometry-optimized Rb2DyCuI6 structure.

## Properties
ΔE_f (raw), eV per atom: -1.110

abc: 8.284 8.284 8.430
angles: 60.49 60.49 89.86
Fractional positions:
Rb  0.750  0.250  0.500
Rb  0.250  0.750  0.500
Dy  0.000  0.000  0.000
Cu  0.500  0.500  0.000
I  0.250  0.250  0.500
I  0.742  0.741  0.000
I  0.259  0.742  0.000
I  0.741  0.258  0.000
I  0.258  0.259  0.000
I  0.750  0.750  0.500



| no. | V (Å³ per atom) |
| --- | --- |
| 1 | 27.168 |
| 2 | 43.110 |
| 3 | 16.943 |
| 4 | 15.033 |
| 5 | 31.010 |
| 6 | 41.548 |